The following is a PBE-GGA calculation of SrHPb2 after structural relaxation, from Alexandria. Values from VASP.

Output
DFT total energy	-2.74	eV per atom
relative energy among the computed polymorphs	0.3539	eV/atom
SG	Fm-3m (225)
M_tot	0.0	μB per formula unit

Cell and atoms, written as Quantum ESPRESSO input:
```
&SYSTEM
  ibrav = 0, nat = 4, ntyp = 3
/
ATOMIC_SPECIES
Sr 87.62 Sr.upf
H 1.01 H.upf
Pb 207.20 Pb.upf
ATOMIC_POSITIONS crystal
Sr 0.5000 0.5000 0.5000
H 0.0000 0.0000 0.0000
Pb 0.7500 0.7500 0.7500
Pb 0.2500 0.2500 0.2500
CELL_PARAMETERS angstrom
0.0467 -4.9400 2.2052
-3.2162 -1.1159 4.2046
-4.2474 -3.2888 -0.6413
```